1.
The following is a PBE-GGA calculation of a relaxed SrBBr2 crystal, from Alexandria.

Properties
The formation energy (no corrections) comes out at -0.124 eV per atom. The volume is 105.24 Å³/cell. The value obtained for the energy relative to the lowest polymorph listed for this composition is 0.0000 eV per atom. The total energy is -3.050 eV per atom.

Lattice parameters (Å, degrees): 5.299 5.299 5.299 60.00 60.00 60.00
Element x y z (fractional)
Sr 0.000 0.000 0.000
B 0.500 0.500 0.500
Br 0.250 0.250 0.250
Br 0.750 0.750 0.750

=====

2.
The following is a PBE-GGA calculation of a relaxed AcPr2TmSe5 crystal, from Alexandria.

Properties
The formation energy (no corrections) comes out at -1.420 eV per atom. The volume is 297.38 Å³/cell. The total energy is -5.372 eV per atom.

Lattice parameters (Å, degrees): 5.119 5.119 11.347 90.00 90.00 90.00
Element x y z (fractional)
Ac 0.000 0.000 0.000
Pr 0.500 0.500 0.339
Pr 0.500 0.500 0.661
Tm 0.000 0.000 0.500
Se 0.000 0.000 0.258
Se 0.000 0.000 0.742
Se 0.000 0.500 0.500
Se 0.500 0.000 0.500
Se 0.500 0.500 0.000

=====

3.
The following is a PBE-GGA calculation of a relaxed CsLiSb3 crystal, from Alexandria.

Properties
The formation energy (no corrections) comes out at 1.218 eV per atom. The volume is 245.10 Å³/cell. The value obtained for the energy relative to the lowest polymorph listed for this composition is 1.1715 eV per atom. The total energy is -1.809 eV per atom.

Lattice parameters (Å, degrees): 6.258 6.258 6.258 90.00 90.00 90.00
Element x y z (fractional)
Cs 0.000 0.000 0.000
Li 0.500 0.500 0.500
Sb 0.000 0.000 0.500
Sb 0.000 0.500 0.000
Sb 0.500 0.000 0.000

=====

4.
The following is a PBE-GGA calculation of a relaxed K2TmScTe4 crystal, from Alexandria.

Properties
The formation energy (no corrections) comes out at -1.309 eV per atom. The volume is 273.24 Å³/cell. The total energy is -4.505 eV per atom.

Lattice parameters (Å, degrees): 7.590 4.382 8.596 90.00 107.11 90.00
Element x y z (fractional)
K 0.000 0.000 0.000
K 0.500 0.500 0.000
Tm 0.000 0.500 0.500
Sc 0.500 0.000 0.500
Te 0.242 0.000 0.704
Te 0.274 0.500 0.300
Te 0.726 0.500 0.700
Te 0.758 0.000 0.296

=====

5.
The following is a PBE-GGA calculation of a relaxed NdTm4Zr crystal, from Alexandria.

Properties
The volume is 183.46 Å³/cell. The total energy is -4.981 eV per atom. Its energy of formation is 219 meV per atom.

Lattice parameters (Å, degrees): 3.342 5.666 9.690 90.00 90.00 90.00
Element x y z (fractional)
Nd 0.000 0.000 0.000
Tm 0.000 0.500 0.208
Tm 0.000 0.500 0.792
Tm 0.500 0.000 0.327
Tm 0.500 0.000 0.673
Zr 0.500 0.500 0.500

=====

6.
The following is a PBE-GGA calculation of a relaxed Mg3Si4 crystal, from Alexandria.

Properties
The formation energy (no corrections) comes out at 0.085 eV per atom. The volume is 254.77 Å³/cell. The value obtained for the energy relative to the lowest polymorph listed for this composition is 0.0331 eV per atom. The total energy is -3.697 eV per atom.

Lattice parameters (Å, degrees): 5.351 6.805 7.910 104.18 108.88 99.44
Element x y z (fractional)
Mg 0.000 0.000 0.000
Mg 0.116 0.507 0.436
Mg 0.294 0.061 0.418
Mg 0.416 0.735 0.948
Mg 0.601 0.252 0.957
Mg 0.725 0.523 0.710
Si 0.106 0.922 0.678
Si 0.125 0.296 0.710
Si 0.166 0.408 0.042
Si 0.535 0.388 0.312
Si 0.545 0.875 0.666
Si 0.701 0.784 0.395
Si 0.724 0.086 0.261
Si 0.961 0.678 0.131

=====

7.
The following is a PBE-GGA calculation of a relaxed IrAuBr2 crystal, from Alexandria.

Properties
The formation energy (no corrections) comes out at 0.253 eV per atom. The volume is 123.13 Å³/cell. The value obtained for the energy relative to the lowest polymorph listed for this composition is 0.1407 eV per atom. The total energy is -3.618 eV per atom.

Lattice parameters (Å, degrees): 5.349 3.663 6.827 90.00 112.97 90.00
Element x y z (fractional)
Ir 0.000 0.000 0.000
Au 0.500 0.000 0.000
Br 0.131 0.500 0.262
Br 0.869 0.500 0.738

=====

8.
The following is a PBE-GGA calculation of a relaxed Ca2AcPm crystal, from Alexandria.

Properties
The volume is 160.03 Å³/cell. The value obtained for the energy relative to the lowest polymorph listed for this composition is 0.0789 eV per atom. The total energy is -3.108 eV per atom. Its energy of formation is 107 meV per atom.

Lattice parameters (Å, degrees): 5.278 5.278 5.746 90.00 90.00 90.00
Element x y z (fractional)
Ca 0.000 0.500 0.000
Ca 0.500 0.000 0.000
Ac 0.000 0.000 0.500
Pm 0.500 0.500 0.500

=====

9.
The following is a PBE-GGA calculation of a relaxed PIrF crystal, from Alexandria.

Properties
The formation energy (no corrections) comes out at -0.909 eV per atom. The volume is 55.21 Å³/cell. The value obtained for the energy relative to the lowest polymorph listed for this composition is 0.0920 eV per atom. The total energy is -6.289 eV per atom.

Lattice parameters (Å, degrees): 2.795 3.389 5.918 90.00 100.01 90.00
Element x y z (fractional)
P 0.000 0.000 0.000
Ir 0.452 0.500 0.868
F 0.101 0.000 0.275

=====

10.
The following is a PBE-GGA calculation of a relaxed PrNdHgPb crystal, from Alexandria.

Properties
The volume is 118.67 Å³/cell. The total energy is -3.900 eV per atom. Its energy of formation is -510 meV per atom.

Lattice parameters (Å, degrees): 5.516 5.516 5.516 60.00 60.00 60.00
Element x y z (fractional)
Pr 0.000 0.000 0.000
Nd 0.500 0.500 0.500
Hg 0.750 0.750 0.750
Pb 0.250 0.250 0.250

=====

11.
The following is a PBE-GGA calculation of a relaxed BaHgSO4 crystal, from Alexandria.

Properties
The formation energy (no corrections) comes out at -1.715 eV per atom. The volume is 253.51 Å³/cell. The total energy is -5.456 eV per atom.

Lattice parameters (Å, degrees): 7.199 7.199 7.199 130.85 107.53 92.56
Element x y z (fractional)
Ba 0.000 0.000 0.000
Ba 0.500 0.000 0.500
Hg 0.500 0.000 0.000
Hg 0.500 0.500 0.500
S 0.118 0.368 0.750
S 0.882 0.632 0.250
O 0.108 0.713 0.396
O 0.183 0.287 0.896
O 0.209 0.254 0.546
O 0.209 0.663 0.954
O 0.791 0.337 0.046
O 0.791 0.746 0.454
O 0.817 0.713 0.104
O 0.892 0.287 0.604

=====

12.
The following is a PBE-GGA calculation of a relaxed CdAuCl2 crystal, from Alexandria.

Properties
The formation energy (no corrections) comes out at -0.155 eV per atom. The volume is 212.22 Å³/cell. The value obtained for the energy relative to the lowest polymorph listed for this composition is 0.2710 eV per atom. The total energy is -2.126 eV per atom.

Lattice parameters (Å, degrees): 8.871 8.871 8.871 146.46 146.46 48.16
Element x y z (fractional)
Cd 0.000 0.000 0.000
Cd 0.750 0.250 0.500
Au 0.250 0.750 0.500
Au 0.500 0.500 0.000
Cl 0.131 0.625 0.006
Cl 0.375 0.381 0.506
Cl 0.619 0.125 0.994
Cl 0.875 0.869 0.494

=====

13.
The following is a PBE-GGA calculation of a relaxed BaLaSc2Tc crystal, from Alexandria.

Properties
The volume is 155.63 Å³/cell. The total energy is -5.916 eV per atom. Its energy of formation is 60 meV per atom.

Lattice parameters (Å, degrees): 5.343 5.343 5.451 90.00 90.00 90.00
Element x y z (fractional)
Ba 0.000 0.000 0.000
La 0.500 0.500 0.000
Sc 0.000 0.500 0.500
Sc 0.500 0.000 0.500
Tc 0.500 0.500 0.500

=====

14.
The following is a PBE-GGA calculation of a relaxed RbAl3H crystal, from Alexandria.

Properties
The volume is 107.21 Å³/cell. The total energy is -2.413 eV per atom.

Lattice parameters (Å, degrees): 4.750 4.750 4.750 90.00 90.00 90.00
Element x y z (fractional)
Rb 0.000 0.000 0.000
Al 0.000 0.500 0.500
Al 0.500 0.000 0.500
Al 0.500 0.500 0.000
H 0.500 0.500 0.500

=====

15.
The following is a PBE-GGA calculation of a relaxed SiRu2 crystal, from Alexandria.

Properties
The formation energy (no corrections) comes out at -0.365 eV per atom. The volume is 321.84 Å³/cell. The total energy is -8.357 eV per atom.

Lattice parameters (Å, degrees): 7.692 7.692 7.692 60.00 60.00 60.00
Element x y z (fractional)
Si 0.160 0.780 0.780
Si 0.220 0.220 0.220
Si 0.220 0.220 0.840
Si 0.220 0.840 0.220
Si 0.780 0.160 0.780
Si 0.780 0.780 0.160
Si 0.780 0.780 0.780
Si 0.840 0.220 0.220
Ru 0.000 0.000 0.000
Ru 0.000 0.000 0.500
Ru 0.000 0.500 0.000
Ru 0.192 0.192 0.558
Ru 0.192 0.558 0.192
Ru 0.192 0.558 0.558
Ru 0.442 0.442 0.808
Ru 0.442 0.808 0.442
Ru 0.442 0.808 0.808
Ru 0.500 0.000 0.000
Ru 0.558 0.192 0.192
Ru 0.558 0.192 0.558
Ru 0.558 0.558 0.192
Ru 0.808 0.442 0.442
Ru 0.808 0.442 0.808
Ru 0.808 0.808 0.442

=====

16.
The following is a PBE-GGA calculation of a relaxed Ba2Y2Sn crystal, from Alexandria.

Properties
The volume is 403.36 Å³/cell. The total energy is -4.244 eV per atom. Its energy of formation is -89 meV per atom.

Lattice parameters (Å, degrees): 8.268 8.268 5.901 90.00 90.00 90.00
Element x y z (fractional)
Ba 0.168 0.332 0.000
Ba 0.332 0.832 0.000
Ba 0.668 0.168 0.000
Ba 0.832 0.668 0.000
Y 0.151 0.651 0.500
Y 0.349 0.151 0.500
Y 0.651 0.849 0.500
Y 0.849 0.349 0.500
Sn 0.000 0.000 0.500
Sn 0.500 0.500 0.500

=====

17.
The following is a PBE-GGA calculation of a relaxed VTeAs3 crystal, from Alexandria.

Properties
The formation energy (no corrections) comes out at 0.253 eV per atom. The volume is 111.21 Å³/cell. The value obtained for the energy relative to the lowest polymorph listed for this composition is 0.0000 eV per atom. The total energy is -4.989 eV per atom.

Lattice parameters (Å, degrees): 4.809 4.809 4.809 90.00 90.00 90.00
Element x y z (fractional)
V 0.000 0.000 0.000
Te 0.500 0.500 0.500
As 0.000 0.000 0.500
As 0.000 0.500 0.000
As 0.500 0.000 0.000

=====

18.
The following is a PBE-GGA calculation of a relaxed Ac2Pr3Cd2 crystal, from Alexandria.

Properties
The volume is 248.11 Å³/cell. The value obtained for the energy relative to the lowest polymorph listed for this composition is 0.0302 eV per atom. The total energy is -3.589 eV per atom. Its energy of formation is -105 meV per atom.

Lattice parameters (Å, degrees): 16.804 16.804 3.838 90.00 90.00 166.77
Element x y z (fractional)
Ac 0.198 0.802 0.000
Ac 0.802 0.198 0.000
Pr 0.074 0.926 0.000
Pr 0.500 0.500 0.500
Pr 0.926 0.074 0.000
Cd 0.368 0.632 0.500
Cd 0.632 0.368 0.500

=====

19.
The following is a PBE-GGA calculation of a relaxed Sc2MoBr crystal, from Alexandria.

Properties
The formation energy (no corrections) comes out at -0.324 eV per atom. The volume is 85.11 Å³/cell. The value obtained for the energy relative to the lowest polymorph listed for this composition is 0.0443 eV per atom. The total energy is -6.616 eV per atom.

Lattice parameters (Å, degrees): 3.330 3.330 7.675 90.00 90.00 90.00
Element x y z (fractional)
Sc 0.000 0.000 0.208
Sc 0.000 0.000 0.792
Mo 0.500 0.500 0.000
Br 0.500 0.500 0.500

=====

20.
The following is a PBE-GGA calculation of a relaxed Pu2Ga4IrPt3 crystal, from Alexandria.

Properties
The volume is 188.84 Å³/cell. The total energy is -7.484 eV per atom. Its energy of formation is -708 meV per atom.

Lattice parameters (Å, degrees): 4.203 4.203 10.688 90.00 90.00 90.00
Element x y z (fractional)
Pu 0.000 0.500 0.245
Pu 0.500 0.000 0.755
Ga 0.000 0.000 0.500
Ga 0.000 0.500 0.870
Ga 0.500 0.000 0.130
Ga 0.500 0.500 0.500
Ir 0.500 0.500 0.000
Pt 0.000 0.000 0.000
Pt 0.000 0.500 0.637
Pt 0.500 0.000 0.363

=====

21.
The following is a PBE-GGA calculation of a relaxed SrCaAg2 crystal, from Alexandria.

Properties
The volume is 104.74 Å³/cell. The total energy is -2.381 eV per atom. Its energy of formation is -35 meV per atom.

Lattice parameters (Å, degrees): 5.291 5.291 5.291 60.00 60.00 60.00
Element x y z (fractional)
Sr 0.000 0.000 0.000
Ca 0.250 0.250 0.250
Ag 0.500 0.500 0.500
Ag 0.750 0.750 0.750

=====

22.
The following is a PBE-GGA calculation of a relaxed BaPdPtO6 crystal, from Alexandria.

Properties
The formation energy (no corrections) comes out at -0.924 eV per atom. The volume is 142.28 Å³/cell. The total energy is -5.691 eV per atom.

Lattice parameters (Å, degrees): 5.330 5.330 5.783 90.00 90.00 120.00
Element x y z (fractional)
Ba 0.000 0.000 0.000
Pd 0.333 0.667 0.500
Pt 0.667 0.333 0.500
O 0.381 0.004 0.692
O 0.381 0.377 0.308
O 0.623 0.004 0.308
O 0.623 0.619 0.692
O 0.996 0.377 0.692
O 0.996 0.619 0.308

=====

23.
The following is a PBE-GGA calculation of a relaxed Sm3Y2N4 crystal, from Alexandria.

Properties
The formation energy (no corrections) comes out at -1.382 eV per atom. The volume is 160.93 Å³/cell. The total energy is -8.092 eV per atom.

Lattice parameters (Å, degrees): 3.546 3.546 14.781 90.07 90.07 60.01
Element x y z (fractional)
Sm 0.000 0.000 0.000
Sm 0.334 0.334 0.381
Sm 0.666 0.666 0.619
Y 0.333 0.333 0.810
Y 0.667 0.667 0.190
N 0.001 0.001 0.296
N 0.334 0.334 0.103
N 0.666 0.666 0.897
N 0.999 0.999 0.704

=====

24.
The following is a PBE-GGA calculation of a relaxed RbTlIrN2 crystal, from Alexandria.

Properties
The formation energy (no corrections) comes out at 1.090 eV per atom. The volume is 96.03 Å³/cell. The total energy is -4.679 eV per atom.

Lattice parameters (Å, degrees): 4.069 4.069 5.799 90.00 90.00 90.00
Element x y z (fractional)
Rb 0.000 0.000 0.000
Tl 0.500 0.500 0.000
Ir 0.500 0.500 0.500
N 0.000 0.500 0.500
N 0.500 0.000 0.500

=====

25.
The following is a PBE-GGA calculation of a relaxed LaCe2Ho6Er3 crystal, from Alexandria.

Properties
The volume is 381.46 Å³/cell. The total energy is -4.688 eV per atom. Its energy of formation is 141 meV per atom.

Lattice parameters (Å, degrees): 10.068 10.068 10.068 146.82 136.54 55.75
Element x y z (fractional)
La 0.000 0.000 0.000
Ce 0.354 0.354 0.000
Ce 0.646 0.646 0.000
Ho 0.069 0.819 0.250
Ho 0.247 0.500 0.747
Ho 0.432 0.181 0.250
Ho 0.568 0.819 0.750
Ho 0.753 0.500 0.253
Ho 0.931 0.181 0.750
Er 0.157 0.657 0.500
Er 0.500 0.000 0.500
Er 0.843 0.343 0.500